Material: Nd12Ho3Mg
Method: DFT, GGA-PBE
State: relaxed

a = 5.1170 Å, b = 5.1170 Å, c = 20.5682 Å
α = 90.00°, β = 90.00°, γ = 90.00°
Sites, in units of the cell vectors:
Nd1 0.5000 0.5000 0.0000
Nd2 0.5000 0.5000 0.2471
Nd3 0.5000 0.5000 0.5000
Nd4 0.5000 0.5000 0.7529
Nd5 0.5000 0.0000 0.1232
Nd6 0.5000 0.0000 0.3741
Nd7 0.5000 0.0000 0.6259
Nd8 0.5000 0.0000 0.8768
Nd9 0.0000 0.5000 0.1232
Nd10 0.0000 0.5000 0.3741
Nd11 0.0000 0.5000 0.6259
Nd12 0.0000 0.5000 0.8768
Ho1 0.0000 0.0000 0.2481
Ho2 0.0000 0.0000 0.5000
Ho3 0.0000 0.0000 0.7519
Mg1 0.0000 0.0000 0.0000

Values from the calculation:
- V (A^3/atom) = 33.66
- formation enthalpy at 0 K (eV/atom) = 0.01

Material: In4Rh5Au
Method: DFT, GGA-PBE
State: relaxed

a = 3.2360 Å, b = 3.2360 Å, c = 16.0462 Å
α = 90.00°, β = 90.00°, γ = 90.00°
Sites, in units of the cell vectors:
In1 0.0000 0.0000 0.1954
In2 0.0000 0.0000 0.3987
In3 0.0000 0.0000 0.6013
In4 0.0000 0.0000 0.8046
Rh1 0.5000 0.5000 0.1031
Rh2 0.5000 0.5000 0.3006
Rh3 0.5000 0.5000 0.5000
Rh4 0.5000 0.5000 0.6994
Rh5 0.5000 0.5000 0.8969
Au1 0.0000 0.0000 0.0000

Values from the calculation:
- V (A^3/atom) = 16.80
- formation enthalpy at 0 K (eV/atom) = -0.31

Material: ZnCdSbTe2
Method: DFT, GGA-PBE
State: relaxed

a = 5.4775 Å, b = 5.4775 Å, c = 5.0683 Å
α = 90.00°, β = 90.00°, γ = 90.00°
Sites, in units of the cell vectors:
Sb1 0.0000 0.0000 0.5000
Zn1 0.0000 0.0000 0.0000
Te1 0.0000 0.5000 0.0000
Te2 0.5000 0.0000 0.0000
Cd1 0.5000 0.5000 0.5000

Values from the calculation:
- E above lowest polymorph (eV per atom) = 0.0000
- V (A^3/atom) = 30.41

Material: BeZn2H2
Method: DFT, GGA-PBE
State: relaxed

a = 2.7954 Å, b = 2.7954 Å, c = 6.2040 Å
α = 76.98°, β = 76.98°, γ = 90.00°
Sites, in units of the cell vectors:
Be1 0.0000 0.0000 0.0000
Zn1 0.3673 0.3673 0.2653
Zn2 0.6327 0.6327 0.7347
H1 0.7500 0.2500 0.5000
H2 0.2500 0.7500 0.5000

Values from the calculation:
- E above lowest polymorph (eV per atom) = 0.0000
- V (A^3/atom) = 9.19

Material: Ti3MoS
Method: DFT, GGA-PBE
State: relaxed

a = 4.4336 Å, b = 4.4336 Å, c = 4.4336 Å
α = 90.00°, β = 90.00°, γ = 90.00°
Sites, in units of the cell vectors:
Mo1 0.5000 0.5000 0.5000
S1 0.0000 0.0000 0.0000
Ti1 0.0000 0.5000 0.0000
Ti2 0.0000 0.0000 0.5000
Ti3 0.5000 0.0000 0.0000

Values from the calculation:
- E above lowest polymorph (eV per atom) = 0.4480
- V (A^3/atom) = 17.43

Material: Sr2W
Method: DFT, GGA-PBE
State: relaxed

a = 3.3832 Å, b = 3.3832 Å, c = 8.9862 Å
α = 90.00°, β = 90.00°, γ = 120.00°
Sites, in units of the cell vectors:
Sr1 0.6667 0.3333 0.7131
Sr2 0.3333 0.6667 0.2869
W1 0.0000 0.0000 0.0000

Values from the calculation:
- E above lowest polymorph (eV per atom) = 0.7001
- V (A^3/atom) = 29.69
- formation enthalpy at 0 K (eV/atom) = 1.32

Material: Sc3Se2O2
Method: DFT, GGA-PBE
State: relaxed

a = 6.7947 Å, b = 6.6871 Å, c = 5.9765 Å
α = 90.00°, β = 61.42°, γ = 90.00°
Site moments in Bohr magnetons follow the coordinates.
Sites, in units of the cell vectors:
Sc1 0.5000 0.5000 0.0000  -0.15
Sc2 0.0000 0.0000 0.0000  -0.15
Sc3 0.7742 0.1258 0.6138  -0.10
Sc4 0.7258 0.6258 0.3862  -0.10
Sc5 0.2742 0.3742 0.6138  -0.10
Sc6 0.2258 0.8742 0.3862  -0.10
Se1 0.9169 0.6444 0.8284  0.01
Se2 0.4169 0.8556 0.8284  0.01
Se3 0.5831 0.1444 0.1716  0.01
Se4 0.0831 0.3556 0.1716  0.01
O1 0.5775 0.3798 0.6399  0.00
O2 0.9225 0.8798 0.3601  0.00
O3 0.0775 0.1202 0.6399  0.00
O4 0.4225 0.6202 0.3601  0.00

Values from the calculation:
- E above lowest polymorph (eV per atom) = 0.0647
- V (A^3/atom) = 17.03

Material: CsInBiS3
Method: DFT, GGA-PBE
State: relaxed

a = 4.6872 Å, b = 9.1057 Å, c = 10.2281 Å
α = 106.76°, β = 90.00°, γ = 90.00°
Sites, in units of the cell vectors:
Cs1 0.2500 0.1968 0.2217
Cs2 0.7500 0.8032 0.7783
In1 0.2500 0.1202 0.6000
In2 0.7500 0.8798 0.4000
Bi1 0.2500 0.6574 0.1279
Bi2 0.7500 0.3426 0.8721
S1 0.7500 0.8589 0.1457
S2 0.2500 0.1411 0.8543
S3 0.2500 0.8140 0.4743
S4 0.7500 0.1860 0.5257
S5 0.7500 0.4512 0.1345
S6 0.2500 0.5488 0.8655

Values from the calculation:
- V (A^3/atom) = 34.83
- E (eV per atom) = -3.912